[1]
Computed, not measured: Gd2NbH after structural relaxation at the PBE-GGA level of DFT.

Values from the calculation:
Space-group type: R-3m (166)
Calculated total energy in eV per formula unit: -40.25

CIF file:
```
data_Gd2NbH
_cell_length_a 9.0745
_cell_length_b 9.0745
_cell_length_c 9.0745
_cell_angle_alpha 20.45
_cell_angle_beta 20.45
_cell_angle_gamma 20.45
_space_group_name_H-M_alt 'P 1'
_space_group_IT_number 1
_space_group_name_Hall 'P 1'
loop_
_atom_site_label
_atom_site_fract_x
_atom_site_fract_y
_atom_site_fract_z
Gd1 0.1097 0.1097 0.1097
Gd2 0.8903 0.8903 0.8903
Nb1 0.0000 0.0000 0.0000
H1 0.5000 0.5000 0.5000
```

=====

[2]
Computed, not measured: GaFe3Os after structural relaxation at the PBE-GGA level of DFT.

Values from the calculation:
Space-group type: Pm-3m (221)
Calculated total energy in eV per formula unit: -32.21

CIF file:
```
data_GaFe3Os
_cell_length_a 4.4154
_cell_length_b 4.4154
_cell_length_c 4.4154
_cell_angle_alpha 90.00
_cell_angle_beta 90.00
_cell_angle_gamma 90.00
_space_group_name_H-M_alt 'P 1'
_space_group_IT_number 1
_space_group_name_Hall 'P 1'
loop_
_atom_site_label
_atom_site_fract_x
_atom_site_fract_y
_atom_site_fract_z
Ga1 0.0000 0.0000 0.0000
Fe1 0.0000 0.0000 0.5000
Fe2 0.0000 0.5000 0.0000
Fe3 0.5000 0.0000 0.0000
Os1 0.5000 0.5000 0.5000
```

=====

[3]
Computed, not measured: K3Sm3ThTe8 after structural relaxation at the PBE-GGA level of DFT.

Values from the calculation:
Formation energy (no corrections) in eV per atom: -1.3710
Space-group type: R-3m (166)
Calculated total energy in eV per formula unit: -70.57

CIF file:
```
data_K3Sm3ThTe8
_cell_length_a 9.8844
_cell_length_b 9.8844
_cell_length_c 9.8844
_cell_angle_alpha 54.71
_cell_angle_beta 54.71
_cell_angle_gamma 54.71
_space_group_name_H-M_alt 'P 1'
_space_group_IT_number 1
_space_group_name_Hall 'P 1'
loop_
_atom_site_label
_atom_site_fract_x
_atom_site_fract_y
_atom_site_fract_z
K1 0.0000 0.5000 0.5000
K2 0.5000 0.0000 0.5000
K3 0.5000 0.5000 0.0000
Sm1 0.0000 0.0000 0.5000
Sm2 0.0000 0.5000 0.0000
Sm3 0.5000 0.0000 0.0000
Th1 0.5000 0.5000 0.5000
Te1 0.2365 0.7368 0.7368
Te2 0.2372 0.2372 0.2372
Te3 0.2632 0.2632 0.7635
Te4 0.2632 0.7635 0.2632
Te5 0.7368 0.2365 0.7368
Te6 0.7368 0.7368 0.2365
Te7 0.7628 0.7628 0.7628
Te8 0.7635 0.2632 0.2632
```